! ScBePt2I, relaxed, DFT GGA-PBEsol; values from VASP
&SYSTEM
  ibrav = 0, nat = 5, ntyp = 4
/
ATOMIC_SPECIES
Sc 44.96 Sc.upf
Be 9.01 Be.upf
Pt 195.08 Pt.upf
I 126.90 I.upf
CELL_PARAMETERS angstrom
5.031 0.000 0.000
0.000 5.031 0.000
0.000 0.000 4.282
ATOMIC_POSITIONS crystal
Sc 0.000 0.000 0.000
Be 0.500 0.500 0.000
Pt 0.000 0.500 0.500
Pt 0.500 0.000 0.500
I 0.500 0.500 0.500
! - DOS at the Fermi energy (states/eV/atom) = 0.544
! - ρ (Mg/m³) = 8.75
! - M_tot (μB/f.u.) = 0.0
! - volume (A^3/atom) = 21.67
! - energy (eV/atom) = -4.339
! - E_form (uncorrected) (meV per atom) = 920